Record 1
A plane-wave DFT calculation with PBE was carried out for a geometry-optimized CeCd6Ag2 structure.

Structure (CIF):
```
data_CeCd6Ag2
_chemical_formula_sum 'Ce1 Cd6 Ag2'
_symmetry_space_group_name_H-M 'P 4/m m m'
_symmetry_Int_Tables_number 123
_symmetry_space_group_name_Hall '-P 4 2'
_cell_length_a 4.385
_cell_length_b 4.385
_cell_length_c 10.854
_cell_angle_alpha 90.00
_cell_angle_beta 90.00
_cell_angle_gamma 90.00
loop_
_atom_site_label
_atom_site_type_symbol
_atom_site_fract_x
_atom_site_fract_y
_atom_site_fract_z
Ce1 Ce 0.000 0.000 0.000
Cd1 Cd 0.000 0.000 0.500
Cd2 Cd 0.000 0.500 0.287
Cd3 Cd 0.500 0.500 0.500
Ag1 Ag 0.500 0.500 0.122
```

Properties
**ΔE to the lowest computed polymorph**: 0.00 eV per formula unit
**ΔH_f (0 K)**: -78 meV per atom
**Total magnetic moment**: 0.11 μB/atom
**DOS at the Fermi energy**: 1.39 states/eV/atom

Record 2
A plane-wave DFT calculation with PBE was carried out for a geometry-optimized TiInCu2H structure.

Structure (CIF):
```
data_TiInCu2H
_chemical_formula_sum 'Ti1 In1 Cu2 H1'
_symmetry_space_group_name_H-M 'P 4/m m m'
_symmetry_Int_Tables_number 123
_symmetry_space_group_name_Hall '-P 4 2'
_cell_length_a 4.129
_cell_length_b 4.129
_cell_length_c 3.793
_cell_angle_alpha 90.00
_cell_angle_beta 90.00
_cell_angle_gamma 90.00
loop_
_atom_site_label
_atom_site_type_symbol
_atom_site_fract_x
_atom_site_fract_y
_atom_site_fract_z
Ti1 Ti 0.000 0.000 0.000
In1 In 0.500 0.500 0.000
Cu1 Cu 0.000 0.500 0.500
H1 H 0.000 0.000 0.500
```

Properties
**Electronic total energy**: -4.490 eV/atom
**Total magnetic moment**: 0.00 μB/atom
**DOS at the Fermi energy**: 0.51 states/eV/atom

Record 3
A plane-wave DFT calculation with PBE was carried out for a geometry-optimized BaLi2ZnPt structure.

Structure (CIF):
```
data_BaLi2ZnPt
_chemical_formula_sum 'Ba1 Li2 Zn1 Pt1'
_symmetry_space_group_name_H-M 'P 4/m m m'
_symmetry_Int_Tables_number 123
_symmetry_space_group_name_Hall '-P 4 2'
_cell_length_a 4.962
_cell_length_b 4.962
_cell_length_c 4.978
_cell_angle_alpha 90.00
_cell_angle_beta 90.00
_cell_angle_gamma 90.00
loop_
_atom_site_label
_atom_site_type_symbol
_atom_site_fract_x
_atom_site_fract_y
_atom_site_fract_z
Ba1 Ba 0.000 0.000 0.000
Li1 Li 0.000 0.500 0.500
Zn1 Zn 0.500 0.500 0.000
Pt1 Pt 0.500 0.500 0.500
```

Properties
**ΔE to the lowest computed polymorph**: 0.00 eV per formula unit
**ΔH_f (0 K)**: -333 meV per atom
**Total magnetic moment**: 0.00 μB/atom
**DOS at the Fermi energy**: 0.58 states/eV/atom

Record 4
A plane-wave DFT calculation with PBE was carried out for a geometry-optimized NaSr2Co structure.

Structure (CIF):
```
data_NaSr2Co
_chemical_formula_sum 'Na4 Sr8 Co4'
_symmetry_space_group_name_H-M 'I -4 2 d'
_symmetry_Int_Tables_number 122
_symmetry_space_group_name_Hall 'I -4 2bw'
_cell_length_a 8.768
_cell_length_b 8.768
_cell_length_c 7.229
_cell_angle_alpha 90.00
_cell_angle_beta 90.00
_cell_angle_gamma 90.00
loop_
_atom_site_label
_atom_site_type_symbol
_atom_site_fract_x
_atom_site_fract_y
_atom_site_fract_z
Na1 Na 0.000 0.000 0.000
Sr1 Sr 0.168 0.750 0.625
Co1 Co 0.000 0.000 0.500
```

Properties
**ΔE to the lowest computed polymorph**: 0.45 eV per formula unit
**ΔH_f (0 K)**: 552 meV per atom
**Total magnetic moment**: 0.00 μB/atom
**DOS at the Fermi energy**: 0.65 states/eV/atom